Entry 1:
Sb2RuBr PBE relaxed; energy relative to the lowest polymorph listed for this composition = 278 meV per atom; final energy = -18.45 eV per formula unit; E_form (uncorrected) = 0.19 eV/atom
1.0
6.4645 0.0000 0.0000
0.0000 6.4645 0.0000
3.2323 3.2323 6.4330
Ru Br Sb
2 2 4
direct
0.7500 0.2500 0.5000 Ru
0.0000 0.0000 0.0000 Ru
0.5000 0.5000 0.0000 Br
0.2500 0.7500 0.5000 Br
0.8750 0.9738 0.7500 Sb
0.7238 0.1250 0.2500 Sb
0.0262 0.6250 0.2500 Sb
0.3750 0.2762 0.7500 Sb



Entry 2:
Sb4RuBr PBE relaxed; final energy = -22.53 eV per formula unit; E_form (uncorrected) = 0.82 eV/atom
1.0
0.0000 4.3649 4.3649
4.3649 0.0000 4.3649
4.3649 4.3649 0.0000
Br Sb Ru
1 4 1
direct
0.7500 0.7500 0.7500 Br
0.3784 0.3784 0.3784 Sb
0.3784 0.8647 0.3784 Sb
0.8647 0.3784 0.3784 Sb
0.3784 0.3784 0.8647 Sb
0.0000 0.0000 0.0000 Ru



Entry 3:
Sb2RuBr PBE relaxed; energy relative to the lowest polymorph listed for this composition = 334 meV per atom; final energy = -18.23 eV per formula unit; E_form (uncorrected) = 0.24 eV/atom
1.0
-2.6956 0.5361 2.2135
0.6023 -3.1465 1.4955
4.8259 3.3333 5.0697
Sb Br Ru
2 1 1
direct
0.5000 0.5000 0.1882 Sb
0.0000 0.0000 0.9437 Sb
0.0000 0.0000 0.5534 Br
0.5000 0.5000 0.8148 Ru



Entry 4:
SbRuBr2 PBE relaxed; energy relative to the lowest polymorph listed for this composition = 57 meV per atom; final energy = -16.61 eV per formula unit; E_form (uncorrected) = 0.03 eV/atom
1.0
-8.8838 -1.7662 -1.0134
-7.3105 -4.7769 -2.6091
-7.7611 -4.6467 1.1146
Sb Br Ru
1 2 1
direct
0.7700 0.7700 0.7700 Sb
0.2182 0.2182 0.2182 Br
0.0217 0.0217 0.0217 Br
0.4901 0.4901 0.4901 Ru



Entry 5:
SbRuBr2 PBE relaxed; energy relative to the lowest polymorph listed for this composition = 475 meV per atom; final energy = -14.94 eV per formula unit; E_form (uncorrected) = 0.45 eV/atom
1.0
3.5012 -0.0453 0.0000
-1.9855 2.8841 0.0000
0.0000 0.0000 10.9685
Sb Br Ru
1 2 1
direct
0.5000 0.5000 0.7500 Sb
0.0000 0.0000 0.4244 Br
0.0000 0.0000 0.0756 Br
0.5000 0.5000 0.2500 Ru



Entry 6:
SbRuBr2 PBE relaxed; energy relative to the lowest polymorph listed for this composition = 249 meV per atom; final energy = -15.84 eV per formula unit; E_form (uncorrected) = 0.22 eV/atom
1.0
-2.4358 1.5010 1.5618
-2.1610 -1.5193 -1.9099
-0.4275 -6.9479 6.0106
Ru Br Sb
1 2 1
direct
0.0000 0.0000 0.5207 Ru
0.0000 0.0000 0.9499 Br
0.5000 0.5000 0.3370 Br
0.5000 0.5000 0.6923 Sb



Entry 7:
SbRuBr2 PBE relaxed; energy relative to the lowest polymorph listed for this composition = 67 meV per atom; final energy = -16.57 eV per formula unit; E_form (uncorrected) = 0.04 eV/atom
1.0
-1.2220 -3.3138 -1.0359
3.3634 0.7584 -6.3937
6.4623 -1.4545 -2.9705
Sb Ru Br
1 1 2
direct
0.5000 0.7500 0.7500 Sb
0.5000 0.2500 0.2500 Ru
0.0000 0.3797 0.3803 Br
0.0000 0.1203 0.1197 Br



Entry 8:
Sb2RuBr PBE relaxed; energy relative to the lowest polymorph listed for this composition = 631 meV per atom; final energy = -17.04 eV per formula unit; E_form (uncorrected) = 0.54 eV/atom
1.0
5.1488 -0.0116 0.0000
0.9273 5.0647 0.0000
-3.0380 -2.5265 3.3011
Ru Sb Br
1 2 1
direct
0.7500 0.2500 0.5000 Ru
0.5000 0.5000 0.0000 Sb
0.0000 0.0000 0.0000 Sb
0.2500 0.7500 0.5000 Br



Entry 9:
SbRuBr4 PBE relaxed; final energy = -12.75 eV per formula unit; E_form (uncorrected) = 1.22 eV/atom
1.0
0.0000 4.3316 4.3316
4.3316 0.0000 4.3316
4.3316 4.3316 0.0000
Br Ru Sb
4 1 1
direct
0.3762 0.8714 0.3762 Br
0.8714 0.3762 0.3762 Br
0.3762 0.3762 0.3762 Br
0.3762 0.3762 0.8714 Br
0.7500 0.7500 0.7500 Ru
0.0000 0.0000 0.0000 Sb



Entry 10:
Sb2RuBr PBE relaxed; energy relative to the lowest polymorph listed for this composition = 133 meV per atom; final energy = -19.03 eV per formula unit; E_form (uncorrected) = 0.04 eV/atom
1.0
-0.3314 -3.2752 -3.7061
0.1492 -4.9274 -0.5195
-6.5204 -2.5226 -0.3245
Br Sb Ru
1 2 1
direct
0.5720 0.5720 0.4346 Br
0.7696 0.7696 0.8261 Sb
0.9346 0.9346 0.1091 Sb
0.2238 0.2238 0.1301 Ru



Entry 11:
SbRuBr2 PBE relaxed; energy relative to the lowest polymorph listed for this composition = 168 meV per atom; final energy = -16.17 eV per formula unit; E_form (uncorrected) = 0.14 eV/atom
1.0
-3.7761 -3.0142 6.0568
-5.2510 -5.5926 1.0856
6.7661 2.9465 -2.3593
Ru Sb Br
1 1 2
direct
0.7500 0.2500 0.5000 Ru
0.2500 0.7500 0.5000 Sb
0.6088 0.6088 0.0000 Br
0.8912 0.8912 0.0000 Br



Entry 12:
SbRuBr2 PBE relaxed; energy relative to the lowest polymorph listed for this composition = 871 meV per atom; final energy = -13.36 eV per formula unit; E_form (uncorrected) = 0.85 eV/atom
1.0
-2.4396 1.9697 -4.0349
1.7744 -3.7953 -2.9256
-2.7996 -1.8991 0.7657
Ru Sb Br
1 1 2
direct
0.5000 0.0000 0.5000 Ru
0.0000 0.5000 0.5000 Sb
0.0000 0.0000 0.0000 Br
0.5000 0.5000 0.0000 Br



Entry 13:
SbRu2Br PBE relaxed; energy relative to the lowest polymorph listed for this composition = 484 meV per atom; final energy = -21.56 eV per formula unit; E_form (uncorrected) = 0.70 eV/atom
1.0
5.5871 0.0000 0.0000
0.0000 5.5871 0.0000
2.7936 2.7936 6.0656
Sb Ru Br
2 4 2
direct
0.0000 0.0000 0.0000 Sb
0.7500 0.2500 0.5000 Sb
0.1503 0.6250 0.2500 Ru
0.5997 0.1250 0.2500 Ru
0.3750 0.4003 0.7500 Ru
0.8750 0.8497 0.7500 Ru
0.2500 0.7500 0.5000 Br
0.5000 0.5000 0.0000 Br



Entry 14:
SbRu2Br PBE relaxed; energy relative to the lowest polymorph listed for this composition = 297 meV per atom; final energy = -22.31 eV per formula unit; E_form (uncorrected) = 0.51 eV/atom
1.0
5.3574 0.0022 -0.0005
4.4382 3.0007 -0.0005
0.5547 0.1700 4.4229
Br Sb Ru
1 1 2
direct
0.2414 0.2414 0.1832 Br
0.4810 0.4810 0.5610 Sb
0.0196 0.0196 0.0358 Ru
0.7580 0.7580 0.7199 Ru



Entry 15:
SbRuBr2 PBE relaxed; energy relative to the lowest polymorph listed for this composition = 691 meV per atom; final energy = -14.08 eV per formula unit; E_form (uncorrected) = 0.67 eV/atom
1.0
3.2586 0.0000 0.0000
0.0000 5.7733 0.0000
0.0000 0.0000 4.7452
Ru Br Sb
1 2 1
direct
0.5000 0.0000 0.5000 Ru
0.0000 0.0000 0.0000 Br
0.5000 0.5000 0.0000 Br
0.0000 0.5000 0.5000 Sb



Entry 16:
SbRuBr2 PBE relaxed; energy relative to the lowest polymorph listed for this composition = 0 meV per atom; final energy = -16.84 eV per formula unit; E_form (uncorrected) = -0.02 eV/atom
1.0
3.9262 0.0000 0.0000
0.0000 5.6649 0.0055
0.0000 3.3456 4.5730
Br Sb Ru
2 1 1
direct
0.0000 0.9782 0.9783 Br
0.5000 0.3227 0.3225 Br
0.5000 0.6774 0.6776 Sb
0.0000 0.5217 0.5216 Ru



Entry 17:
Sb2RuBr PBE relaxed; energy relative to the lowest polymorph listed for this composition = 62 meV per atom; final energy = -19.32 eV per formula unit; E_form (uncorrected) = -0.03 eV/atom
1.0
-0.9524 -1.8981 -2.5386
1.2173 -2.6666 1.5369
-7.2726 -1.2211 3.6416
Ru Br Sb
1 1 2
direct
0.5000 0.5000 0.7500 Ru
0.5000 0.5000 0.2500 Br
0.0000 0.0000 0.5507 Sb
0.0000 0.0000 0.9493 Sb



Entry 18:
Sb2RuBr PBE relaxed; energy relative to the lowest polymorph listed for this composition = 754 meV per atom; final energy = -16.55 eV per formula unit; E_form (uncorrected) = 0.66 eV/atom
1.0
3.2611 0.0000 0.0000
0.0000 5.6814 0.0411
0.0000 5.6564 4.9199
Sb Br Ru
2 1 1
direct
0.5000 0.5000 0.0000 Sb
0.0000 0.0000 0.0000 Sb
0.5000 0.5000 0.5000 Br
0.0000 0.0000 0.5000 Ru



Entry 19:
SbRuBr2 PBE relaxed; energy relative to the lowest polymorph listed for this composition = 873 meV per atom; final energy = -13.35 eV per formula unit; E_form (uncorrected) = 0.85 eV/atom
1.0
5.3286 -0.0070 0.0000
-1.0696 5.2201 0.0000
0.0000 0.0000 3.3038
Sb Br Ru
1 2 1
direct
0.0000 0.5000 0.5000 Sb
0.5000 0.5000 0.0000 Br
0.0000 0.0000 0.0000 Br
0.5000 0.0000 0.5000 Ru



Entry 20:
SbRuBr PBE relaxed; energy relative to the lowest polymorph listed for this composition = 349 meV per atom; final energy = -14.37 eV per formula unit; E_form (uncorrected) = 0.23 eV/atom
1.0
7.4593 0.2311 -0.2412
6.6953 3.2984 -0.2118
0.7640 0.1604 3.0632
Br Ru Sb
1 1 1
direct
0.0449 0.0449 0.9551 Br
0.6697 0.6697 0.3303 Ru
0.2854 0.2854 0.7146 Sb